[1]
Compound: Pm3Pr9Y2
Source: the Alexandria database
Functional: PBE
Structure: relaxed

Its raw total energy is -0.1762 Ha/atom. The crystal system is hexagonal.

It has space group P6_3/m (No. 176), with a = 9.1757 Å, b = 9.1757 Å, c = 14.1977 Å, α = 90.00°, β = 90.00° and γ = 120.00°. The distinct sites, in fractional coordinates, are Pm at (0.0812, 0.2498, 0.2500), Pr at (0.0797, 0.4804, 0.7500), Pr at (0.1318, 0.7258, 0.5427) and Y at (0.3333, 0.6667, 0.1419).



[2]
Compound: Rb2AcI4
Source: the Alexandria database
Functional: PBE
Structure: relaxed

Its raw total energy is -0.1119 Ha/atom. The crystal system is tetragonal.

It has space group I4/mmm (No. 139), with a = 6.520 Å, b = 6.520 Å, c = 18.752 Å, α = 90.00°, β = 90.00° and γ = 90.00°. The distinct sites, in fractional coordinates, are Rb at (0.000, 0.000, 0.132), Ac at (0.000, 0.000, 0.500), I at (0.000, 0.000, 0.325) and I at (0.000, 0.500, 0.000).



[3]
Compound: AcPmPd2
Source: the Alexandria database
Functional: PBE
Structure: relaxed

Its energy above the lowest structure with this stoichiometry is 0.074 eV per atom. The crystal system is trigonal.

It has space group R-3m (No. 166, hexagonal axes), with a = 4.3092 Å, b = 4.3092 Å, c = 20.9358 Å, α = 90.00°, β = 90.00° and γ = 120.00°. The distinct sites, in fractional coordinates, are Ac at (0.0000, 0.0000, 0.0000), Pm at (0.0000, 0.0000, 0.5000) and Pd at (0.0000, 0.0000, 0.2451).



[4]
Compound: Sm3Er4Au4
Source: the Alexandria database
Functional: PBE
Structure: relaxed

Its raw total energy is -0.1736 Ha/atom. The crystal system is orthorhombic.

It has space group Immm (No. 71), with a = 4.832 Å, b = 7.731 Å, c = 15.661 Å, α = 90.00°, β = 90.00° and γ = 90.00°. The distinct sites, in fractional coordinates, are Sm at (0.000, 0.000, 0.000), Sm at (0.000, 0.500, 0.103), Er at (0.000, 0.287, 0.327), Au at (0.000, 0.000, 0.207) and Au at (0.000, 0.189, 0.500).



[5]
Compound: Rb2CdIBr6
Source: the Alexandria database
Functional: PBE
Structure: relaxed

Its raw total energy is -0.0844 Ha/atom. The crystal system is tetragonal.

It has space group I4/mmm (No. 139), with a = 8.069 Å, b = 8.069 Å, c = 12.441 Å, α = 90.00°, β = 90.00° and γ = 90.00°. The distinct sites, in fractional coordinates, are Rb at (0.000, 0.500, 0.250), Cd at (0.000, 0.000, 0.000), I at (0.000, 0.000, 0.500), Br at (0.000, 0.000, 0.214) and Br at (0.249, 0.249, 0.000).



[6]
Compound: GdFeSb2
Source: the Alexandria database
Functional: PBE
Structure: relaxed

Its raw total energy is -0.2798 Ha/atom. The crystal system is trigonal.

It has space group R-3m (No. 166, hexagonal axes), with a = 3.3868 Å, b = 3.3868 Å, c = 29.6994 Å, α = 90.00°, β = 90.00° and γ = 120.00°. The distinct sites, in fractional coordinates, are Gd at (0.0000, 0.0000, 0.0000), Fe at (0.0000, 0.0000, 0.5000) and Sb at (0.0000, 0.0000, 0.1069).



[7]
Compound: Cs2NaYRe
Source: the Alexandria database
Functional: PBE
Structure: relaxed

Its raw total energy is -0.0950 Ha/atom. The crystal system is tetragonal.

It has space group P4/mmm (No. 123), with a = 6.224 Å, b = 6.224 Å, c = 5.727 Å, α = 90.00°, β = 90.00° and γ = 90.00°. The distinct sites, in fractional coordinates, are Cs at (0.000, 0.500, 0.000), Na at (0.000, 0.000, 0.000), Y at (0.500, 0.500, 0.500) and Re at (0.000, 0.000, 0.500).



[8]
Compound: SrZn4Au
Source: the Alexandria database
Functional: PBE
Structure: relaxed

Its energy above the lowest structure with this stoichiometry is 0.000 eV per atom. The crystal system is orthorhombic.

It has space group Cmcm (No. 63), with a = 4.350 Å, b = 16.269 Å, c = 6.959 Å, α = 90.00°, β = 90.00° and γ = 90.00°. The distinct sites, in fractional coordinates, are Sr at (0.000, 0.122, 0.250), Zn at (0.000, 0.069, 0.750), Zn at (0.000, 0.331, 0.064), Zn at (0.000, 0.500, 0.000) and Au at (0.000, 0.232, 0.750).



[9]
Compound: LaYZr2
Source: the Alexandria database
Functional: PBE
Structure: relaxed

Its energy above the lowest structure with this stoichiometry is 0.190 eV per atom. The crystal system is cubic.

It has space group Fm-3m (No. 225), with a = 7.608 Å, b = 7.608 Å, c = 7.608 Å, α = 90.00°, β = 90.00° and γ = 90.00°. The distinct sites, in fractional coordinates, are La at (0.000, 0.000, 0.000), Y at (0.000, 0.000, 0.500) and Zr at (0.250, 0.250, 0.250).



[10]
Compound: YMgSn2
Source: the Alexandria database
Functional: PBE
Structure: relaxed

Its raw total energy is -0.1603 Ha/atom. The crystal system is trigonal.

It has space group R3m (No. 160, hexagonal axes), with a = 4.5375 Å, b = 4.5375 Å, c = 19.2934 Å, α = 90.00°, β = 90.00° and γ = 120.00°. The distinct sites, in fractional coordinates, are Y at (0.0000, 0.0000, 0.0000), Mg at (0.0000, 0.0000, 0.8207), Sn at (0.0000, 0.0000, 0.4186) and Sn at (0.0000, 0.0000, 0.5714).



[11]
Compound: CsTiO2F
Source: the Alexandria database
Functional: PBE
Structure: relaxed

Its raw total energy is -0.2446 Ha/atom. The crystal system is tetragonal.

It has space group P4/mmm (No. 123), with a = 3.972 Å, b = 3.972 Å, c = 4.554 Å, α = 90.00°, β = 90.00° and γ = 90.00°. The distinct sites, in fractional coordinates, are Cs at (0.000, 0.000, 0.000), Ti at (0.500, 0.500, 0.500), O at (0.000, 0.500, 0.500) and F at (0.500, 0.500, 0.000).



[12]
Compound: NbCdRh
Source: the Alexandria database
Functional: PBE
Structure: relaxed

Its raw total energy is -0.2240 Ha/atom. The crystal system is orthorhombic.

It has space group Fmmm (No. 69), with a = 5.373 Å, b = 7.398 Å, c = 11.278 Å, α = 90.00°, β = 90.00° and γ = 90.00°. The distinct sites, in fractional coordinates, are Nb at (0.250, 0.250, 0.250), Cd at (0.000, 0.176, 0.000) and Rh at (0.000, 0.000, 0.378).



[13]
Compound: ReTe2Se
Source: the Alexandria database
Functional: PBE
Structure: relaxed

Its raw total energy is -0.1968 Ha/atom. The crystal system is tetragonal.

It has space group P4mm (No. 99), with a = 3.111 Å, b = 3.111 Å, c = 10.221 Å, α = 90.00°, β = 90.00° and γ = 90.00°. The distinct sites, in fractional coordinates, are Re at (0.000, 0.000, 0.000), Te at (0.000, 0.000, 0.493), Te at (0.500, 0.500, 0.823) and Se at (0.500, 0.500, 0.147).



[14]
Compound: CoW2Au
Source: the Alexandria database
Functional: PBE
Structure: relaxed

Its energy above the lowest structure with this stoichiometry is 0.063 eV per atom. The crystal system is tetragonal.

It has space group P4/mmm (No. 123), with a = 3.812 Å, b = 3.812 Å, c = 4.133 Å, α = 90.00°, β = 90.00° and γ = 90.00°. The distinct sites, in fractional coordinates, are Co at (0.000, 0.000, 0.000), W at (0.000, 0.500, 0.500) and Au at (0.500, 0.500, 0.000).



[15]
Compound: PrCoSi3Ir
Source: the Alexandria database
Functional: PBE
Structure: relaxed

Its raw total energy is -0.2462 Ha/atom. The crystal system is orthorhombic.

It has space group Cmcm (No. 63), with a = 6.208 Å, b = 12.375 Å, c = 5.764 Å, α = 90.00°, β = 90.00° and γ = 90.00°. The distinct sites, in fractional coordinates, are Pr at (0.000, 0.216, 0.250), Co at (0.000, 0.039, 0.750), Si at (0.000, 0.208, 0.750), Si at (0.219, 0.500, 0.000) and Ir at (0.000, 0.389, 0.750).



[16]
Compound: LaAgF2
Source: the Alexandria database
Functional: PBE
Structure: relaxed

Its energy above the lowest structure with this stoichiometry is 0.189 eV per atom. The crystal system is cubic.

It has space group Fm-3m (No. 225), with a = 6.478 Å, b = 6.478 Å, c = 6.478 Å, α = 90.00°, β = 90.00° and γ = 90.00°. The distinct sites, in fractional coordinates, are La at (0.000, 0.000, 0.000), Ag at (0.000, 0.000, 0.500) and F at (0.250, 0.250, 0.250).



[17]
Compound: Rb12I3O5
Source: the Alexandria database
Functional: PBE
Structure: relaxed

Its raw total energy is -0.1148 Ha/atom. The crystal system is cubic.

It has space group Ia-3d (No. 230), with a = 18.491 Å, b = 18.491 Å, c = 18.491 Å, α = 90.00°, β = 90.00° and γ = 90.00°. The distinct sites, in fractional coordinates, are Rb at (0.038, 0.045, 0.645), I at (0.000, 0.250, 0.125), O at (0.000, 0.000, 0.000) and O at (0.000, 0.250, 0.375).



[18]
Compound: Ge3HCl
Source: the Alexandria database
Functional: PBE
Structure: relaxed

Its energy above the lowest structure with this stoichiometry is 0.727 eV per atom. The crystal system is cubic.

It has space group Pm-3m (No. 221), with a = 5.043 Å, b = 5.043 Å, c = 5.043 Å, α = 90.00°, β = 90.00° and γ = 90.00°. The distinct sites, in fractional coordinates, are Ge at (0.000, 0.000, 0.500), H at (0.500, 0.500, 0.500) and Cl at (0.000, 0.000, 0.000).